A relaxed structure of GdScAl. Source: OQMD via LeMat-Bulk, functional PBE.

Cell: 4.8946 4.8946 4.8946 Å, 60.00 60.00 60.00°
Atoms (fractional coordinates):
Sc 0.0000 0.0000 0.0000
Al 0.2500 0.2500 0.2500
Gd 0.7500 0.7500 0.7500

* uncorrected energy: -4.49 eV per atom
* symmetry: No. 216